An optimized crystal structure of Ho3ScTl3Te8. Source: the Alexandria database, functional PBE.

The value obtained for the raw total energy is -67.585 eV/f.u.

The structure belongs to space group R-3m (No. 166, hexagonal axes); the cell edges are 8.6784, 8.6784 and 24.6562 Å and the angles 90.00°, 90.00° and 120.00°. The asymmetric unit holds Ho at (0.0000, 0.5000, 0.0000), Sc at (0.0000, 0.0000, 0.0000), Tl at (0.0000, 0.5000, 0.5000), Te at (0.0000, 0.0000, 0.2615) and Te at (0.0097, 0.5049, 0.7363).